DFT (PBE-GGA) results for TeMoPI2 after structural relaxation.

Cell: 5.7137 5.7137 5.2636 Å, 90.00 90.00 90.00°
Space group P4/mmm (No. 123)
Inequivalent atoms, fractional coordinates:
Te (0.0000, 0.0000, 0.0000) [1 per cell]
Mo (0.0000, 0.0000, 0.5000) [1 per cell]
P (0.5000, 0.5000, 0.0000) [1 per cell]
I (0.0000, 0.5000, 0.5000) [2 per cell]

Values from the calculation:
Density, kg/m³: 4912
VASP energy, eV/cell: -18.10
Energy above the most stable polymorph in this dataset, eV/atom: 0.000



DFT (PBE-GGA) results for SrZnCd after structural relaxation.

Cell: 7.5220 7.5220 7.5220 Å, 90.00 90.00 90.00°
Space group F-43m (No. 216)
Inequivalent atoms, fractional coordinates:
Sr (0.0000, 0.0000, 0.0000) [4 per cell]
Zn (0.2500, 0.2500, 0.2500) [4 per cell]
Cd (0.2500, 0.2500, 0.7500) [4 per cell]

Values from the calculation:
Density, kg/m³: 4143
VASP energy, eV/cell: -13.26
Energy of formation, eV per atom: 0.18



DFT (PBE-GGA) results for PuInP2 after structural relaxation.

Cell: 4.0390 4.0390 18.7313 Å, 90.00 90.00 120.00°
Space group R3m (No. 160, hexagonal axes)
Inequivalent atoms, fractional coordinates:
Pu (0.0000, 0.0000, 0.0000) [3 per cell]
In (0.0000, 0.0000, 0.8262) [3 per cell]
P (0.0000, 0.0000, 0.4131) [3 per cell]
P (0.0000, 0.0000, 0.5890) [3 per cell]

Values from the calculation:
Density, kg/m³: 7921
VASP energy, eV/cell: -89.28
Energy of formation, eV per atom: -0.47
Energy above the most stable polymorph in this dataset, eV/atom: 0.017



DFT (PBE-GGA) results for ScAs2Pt after structural relaxation.

Cell: 3.9684 3.9684 9.3052 Å, 90.00 90.00 90.00°
Space group I4/mmm (No. 139)
Inequivalent atoms, fractional coordinates:
Sc (0.0000, 0.0000, 0.0000) [2 per cell]
As (0.0000, 0.5000, 0.2500) [4 per cell]
Pt (0.0000, 0.0000, 0.5000) [2 per cell]

Values from the calculation:
Density, kg/m³: 8836
VASP energy, eV/cell: -46.22
Energy of formation, eV per atom: -0.36
Energy above the most stable polymorph in this dataset, eV/atom: 0.343



DFT (PBE-GGA) results for Be2SbRu after structural relaxation.

Cell: 6.7817 3.9172 4.9217 Å, 90.00 117.44 90.00°
Space group Cm (No. 8)
Inequivalent atoms, fractional coordinates:
Be (0.0000, 0.0000, 0.0000) [2 per cell]
Be (0.2040, 0.5000, 0.1107) [2 per cell]
Sb (0.0136, 0.5000, 0.5421) [2 per cell]
Ru (0.3108, 0.0000, 0.9325) [2 per cell]

Values from the calculation:
Density, kg/m³: 6894
VASP energy, eV/cell: -41.91



DFT (PBE-GGA) results for LiPr2SeO6 after structural relaxation.

Cell: 7.7590 7.7590 7.7590 Å, 90.00 90.00 90.00°
Space group Fm-3m (No. 225)
Inequivalent atoms, fractional coordinates:
Li (0.0000, 0.0000, 0.0000) [4 per cell]
Pr (0.2500, 0.2500, 0.2500) [8 per cell]
Se (0.0000, 0.0000, 0.5000) [4 per cell]
O (0.0000, 0.0000, 0.2539) [24 per cell]

Values from the calculation:
Density, kg/m³: 6594
VASP energy, eV/cell: -263.66



DFT (PBE-GGA) results for Hf3ZrV8 after structural relaxation.

Cell: 5.2220 5.2220 8.3055 Å, 90.00 90.00 120.00°
Space group P3m1 (No. 156)
Inequivalent atoms, fractional coordinates:
Hf (0.0000, 0.0000, 0.0000) [1 per cell]
Hf (0.0000, 0.0000, 0.3720) [1 per cell]
Hf (0.3333, 0.6667, 0.8738) [1 per cell]
Zr (0.3333, 0.6667, 0.5003) [1 per cell]
V (0.0067, 0.5034, 0.1850) [3 per cell]
V (0.3256, 0.1628, 0.6877) [3 per cell]
V (0.6667, 0.3333, 0.4363) [1 per cell]
V (0.6667, 0.3333, 0.9369) [1 per cell]

Values from the calculation:
Density, kg/m³: 8756
VASP energy, eV/cell: -111.21
Energy of formation, eV per atom: 0.01



DFT (PBE-GGA) results for TlCo4Re after structural relaxation.

Cell: 6.8237 6.8237 6.8237 Å, 90.00 90.00 90.00°
Space group F-43m (No. 216)
Inequivalent atoms, fractional coordinates:
Tl (0.0000, 0.0000, 0.0000) [4 per cell]
Co (0.1244, 0.1244, 0.6244) [16 per cell]
Re (0.2500, 0.2500, 0.2500) [4 per cell]

Values from the calculation:
Density, kg/m³: 13093
VASP energy, eV/cell: -161.82
Energy of formation, eV per atom: 0.46